Record 1
This record from Alexandria via LeMat-Bulk describes a geometry-optimized InGaTe2 structure. The functional is GGA-PBEsol.

Values from the calculation:
Spin magnetization, μB per cell: 0.0
VASP energy, eV per atom: -3.32
Uncorrected formation energy, eV/atom: 0.019

Cell lengths 3.7296, 3.7296, 10.0911 Å; angles 79.35, 79.35, 60.00 degrees
Atoms (fractional coordinates):
Te: 0.8917 0.8917 0.3248
Te: 0.1083 0.1083 0.6752
Ga: 0.5000 0.5000 0.5000
In: 0.0000 0.0000 0.0000


Record 2
This record from Alexandria via LeMat-Bulk describes a geometry-optimized Sr3SnSe structure. The functional is GGA-PBEsol.

Values from the calculation:
Spin magnetization, μB per cell: 0.0
VASP energy, eV per atom: -3.18
Uncorrected formation energy, eV/atom: -0.458

Cell lengths 6.1091, 6.1091, 6.1091 Å; angles 90.00, 90.00, 90.00 degrees
Atoms (fractional coordinates):
Sr: 0.0000 0.5000 0.0000
Sr: 0.0000 0.0000 0.5000
Sr: 0.5000 0.0000 0.0000
Sn: 0.0000 0.0000 0.0000
Se: 0.5000 0.5000 0.5000


Among the records above, which one has the lowest uncorrected formation energy? Sr3SnSe